[1]
A geometry-optimized Er2NiIr structure. Source: the Open Quantum Materials Database, functional GGA-PBE. Values from VASP.

```
&SYSTEM
  ibrav = 0, nat = 8, ntyp = 3
/
ATOMIC_SPECIES
Ir 192.22 Ir.upf
Er 167.26 Er.upf
Ni 58.69 Ni.upf
ATOMIC_POSITIONS angstrom
Ir -0.659 0.174 0.211
Ir -5.054 3.073 1.754
Er -5.890 5.214 -0.003
Er -2.550 4.449 1.113
Er -1.484 2.316 -1.549
Er -3.396 0.752 1.075
Ni -3.422 6.593 -0.632
Ni -4.187 2.909 -0.694
CELL_PARAMETERS angstrom
-1.188 0.313 -3.972
-5.231 -0.796 1.502
-0.836 7.009 0.802
```

Magnetic moment in μB/atom: 0.001
Symmetry: Pmc2_1 (26)

---

[2]
A geometry-optimized ErNi2Ir2 structure. Source: the Open Quantum Materials Database, functional GGA-PBE. Values from VASP.

```
&SYSTEM
  ibrav = 0, nat = 5, ntyp = 3
/
ATOMIC_SPECIES
Ir 192.22 Ir.upf
Ni 58.69 Ni.upf
Er 167.26 Er.upf
ATOMIC_POSITIONS angstrom
Ir -2.520 -1.878 0.944
Ir -0.737 -1.295 2.924
Ni -4.652 -0.631 4.376
Ni -3.046 -0.413 2.865
Er 0.000 0.000 0.000
CELL_PARAMETERS angstrom
-2.066 0.061 5.600
-5.632 -1.105 1.642
4.441 -2.128 -3.373
```

Magnetic moment in μB/atom: 0.005
Symmetry: I4/mmm (139)

---

no.,DFT total energy (eV per atom),energy relative to the elements (meV/atom)
1,-6.589,-702
2,-6.913,-231